## Nb2CoH3 (GGA-PBE)

Data for crystalline Nb2CoH3 at its relaxed geometry.

Final energy ... -37.88 eV/f.u.
M_tot ... 2.4 μB/cell

Lattice parameters (Å, degrees): 4.2828 5.6665 5.0996 106.09 114.83 90.00
Site moments in Bohr magnetons follow the coordinates.
Fractional coordinates of all 12 atoms:
Nb 0.6647 0.5812 0.3252  0.10
Nb 0.6605 0.0812 0.3252  0.10
Nb 0.3395 0.9188 0.6748  0.10
Nb 0.3353 0.4188 0.6748  0.10
Co 0.0093 0.7500 0.0000  1.03
Co 0.9907 0.2500 0.0000  1.03
H 0.3900 0.2500 0.0000  0.00
H 0.6100 0.7500 0.0000  0.00
H 0.1566 0.0811 0.3221  0.00
H 0.8345 0.4189 0.6779  0.00
H 0.1655 0.5811 0.3221  0.00
H 0.8434 0.9189 0.6779  0.00

***

## Nb2CoH2 (GGA-PBE)

Data for crystalline Nb2CoH2 at its relaxed geometry.

Final energy ... -34.69 eV/f.u.
Excess energy over the best structure of this formula in the dataset ... 0.00 eV/f.u.
M_tot ... 0.5 μB/cell

Lattice parameters (Å, degrees): 2.9221 2.9221 6.4670 76.94 76.94 90.00
Site moments in Bohr magnetons follow the coordinates.
Fractional coordinates of all 5 atoms:
H 0.7500 0.2500 0.5000  0.00
H 0.2500 0.7500 0.5000  0.00
Nb 0.3602 0.3602 0.2795  -0.05
Nb 0.6398 0.6398 0.7205  -0.05
Co 0.0000 0.0000 0.0000  0.65

***

## NbCo3H (GGA-PBE)

Data for crystalline NbCo3H at its relaxed geometry.

Final energy ... -34.36 eV/f.u.
Excess energy over the best structure of this formula in the dataset ... 1.27 eV/f.u.
M_tot ... 0.0 μB/cell

Lattice parameters (Å, degrees): 5.5168 5.5168 5.5168 55.36 55.36 55.36
Fractional coordinates of all 10 atoms:
H 0.1792 0.1792 0.1792
H 0.8208 0.8208 0.8208
Nb 0.3878 0.3878 0.3878
Nb 0.6122 0.6122 0.6122
Co 0.4001 0.9228 0.9227
Co 0.9228 0.9227 0.4001
Co 0.0773 0.5999 0.0772
Co 0.0772 0.0773 0.5999
Co 0.5999 0.0772 0.0773
Co 0.9227 0.4001 0.9228

***

## Nb2CoH (GGA-PBE)

Data for crystalline Nb2CoH at its relaxed geometry.

Final energy ... -29.01 eV/f.u.
Excess energy over the best structure of this formula in the dataset ... 0.47 eV/f.u.
M_tot ... 0.0 μB/cell

Lattice parameters (Å, degrees): 3.7018 3.7018 6.2877 72.88 72.88 60.00
Fractional coordinates of all 4 atoms:
H 0.0000 0.0000 0.0000
Nb 0.1043 0.1043 0.6870
Nb 0.8957 0.8957 0.3130
Co 0.5000 0.5000 0.5000

***

## NbCo3H (GGA-PBE)

Data for crystalline NbCo3H at its relaxed geometry.

Final energy ... -33.89 eV/f.u.
Excess energy over the best structure of this formula in the dataset ... 1.74 eV/f.u.
M_tot ... 4.0 μB/cell

Lattice parameters (Å, degrees): 6.7700 6.7700 6.7700 60.00 60.00 60.00
Site moments in Bohr magnetons follow the coordinates.
Fractional coordinates of all 20 atoms:
H 0.1250 0.1250 0.1250  -0.01
H 0.1250 0.6250 0.1250  -0.01
H 0.6250 0.1250 0.1250  -0.01
H 0.1250 0.1250 0.6250  -0.01
Nb 0.6250 0.6250 0.6250  -0.16
Nb 0.6250 0.1250 0.6250  -0.16
Nb 0.1250 0.6250 0.6250  -0.20
Nb 0.6250 0.6250 0.1250  -0.16
Co 0.8131 0.1869 0.1869  0.39
Co 0.0631 0.4369 0.4369  0.41
Co 0.4369 0.4369 0.0631  0.36
Co 0.4369 0.0631 0.0631  0.39
Co 0.0631 0.4369 0.0631  0.42
Co 0.8131 0.1869 0.8131  0.39
Co 0.4369 0.0631 0.4369  0.39
Co 0.0631 0.0631 0.4369  0.45
Co 0.1869 0.8131 0.1869  0.42
Co 0.1869 0.8131 0.8131  0.41
Co 0.1869 0.1869 0.8131  0.45
Co 0.8131 0.8131 0.1869  0.36

***

## NbCo3H (GGA-PBE)

Data for crystalline NbCo3H at its relaxed geometry.

Final energy ... -35.63 eV/f.u.
Excess energy over the best structure of this formula in the dataset ... 0.00 eV/f.u.
M_tot ... 2.0 μB/cell

Lattice parameters (Å, degrees): 4.2290 5.2341 5.2341 60.00 90.00 90.00
Site moments in Bohr magnetons follow the coordinates.
Fractional coordinates of all 10 atoms:
H 0.7422 0.2748 0.0695  -0.01
H 0.2421 0.2748 0.0695  -0.01
Nb 0.9920 0.9415 0.7362  -0.24
Nb 0.4921 0.6082 0.4028  -0.24
Co 0.9920 0.4392 0.2339  0.43
Co 0.9920 0.4392 0.7408  0.43
Co 0.4920 0.1105 0.9051  0.43
Co 0.4920 0.1105 0.3982  0.43
Co 0.9920 0.9461 0.2339  0.43
Co 0.4920 0.6035 0.9052  0.43

***

## NbCo3H (GGA-PBE)

Data for crystalline NbCo3H at its relaxed geometry.

Final energy ... -35.55 eV/f.u.
Excess energy over the best structure of this formula in the dataset ... 0.09 eV/f.u.
M_tot ... 2.0 μB/cell

Lattice parameters (Å, degrees): 5.3009 4.2177 5.3011 91.16 121.67 88.84
Site moments in Bohr magnetons follow the coordinates.
Fractional coordinates of all 10 atoms:
H 0.0493 0.1934 0.1020  0.00
H 0.5497 0.6934 0.6023  -0.01
Nb 0.8701 0.9317 0.2819  -0.23
Nb 0.2293 0.4550 0.9228  -0.23
Co 0.7145 0.4407 0.9261  0.42
Co 0.2259 0.4407 0.4375  0.42
Co 0.3908 0.9453 0.7611  0.43
Co 0.3848 0.9460 0.2785  0.42
Co 0.7085 0.4414 0.4435  0.43
Co 0.8734 0.9459 0.7672  0.42

***

## NbCo3H (GGA-PBE)

Data for crystalline NbCo3H at its relaxed geometry.

Final energy ... -35.54 eV/f.u.
Excess energy over the best structure of this formula in the dataset ... 0.10 eV/f.u.
M_tot ... 2.0 μB/cell

Lattice parameters (Å, degrees): 5.2739 4.2169 5.2743 90.00 60.00 90.00
Site moments in Bohr magnetons follow the coordinates.
Fractional coordinates of all 10 atoms:
H 0.6141 0.3931 0.2189  0.00
H 0.2806 0.8933 0.8857  0.00
Nb 0.6140 0.8933 0.2189  -0.22
Nb 0.2806 0.3934 0.8857  -0.22
Co 0.7951 0.3934 0.8567  0.42
Co 0.7951 0.3934 0.4001  0.42
Co 0.6428 0.8934 0.7045  0.42
Co 0.0995 0.8934 0.2479  0.42
Co 0.2518 0.3934 0.4001  0.42
Co 0.0996 0.8934 0.7045  0.42

***

## NbCo3H (GGA-PBE)

Data for crystalline NbCo3H at its relaxed geometry.

Final energy ... -31.01 eV/f.u.
Excess energy over the best structure of this formula in the dataset ... 4.62 eV/f.u.
M_tot ... 3.4 μB/cell

Lattice parameters (Å, degrees): 2.5268 6.4097 6.4097 134.40 90.00 90.00
Site moments in Bohr magnetons follow the coordinates.
Fractional coordinates of all 5 atoms:
H 0.0000 0.4371 0.5629  -0.01
Nb 0.5000 0.0947 0.9053  -0.25
Co 0.5000 0.1368 0.3220  1.30
Co 0.5000 0.6780 0.8632  1.29
Co 0.0000 0.2814 0.7186  1.16

***

## NbCo3H (GGA-PBE)

Data for crystalline NbCo3H at its relaxed geometry.

Final energy ... -30.00 eV/f.u.
Excess energy over the best structure of this formula in the dataset ... 5.63 eV/f.u.
M_tot ... 2.6 μB/cell

Lattice parameters (Å, degrees): 4.9423 4.9423 4.9423 56.25 56.25 56.25
Site moments in Bohr magnetons follow the coordinates.
Fractional coordinates of all 5 atoms:
H 0.8765 0.8765 0.8765  -0.01
Nb 0.6292 0.6292 0.6292  -0.45
Co 0.6200 0.1294 0.6200  1.05
Co 0.1294 0.6200 0.6200  1.05
Co 0.6200 0.6200 0.1294  1.05

***

## NbCoH2 (GGA-PBE)

Data for crystalline NbCoH2 at its relaxed geometry.

Final energy ... -23.40 eV/f.u.
Excess energy over the best structure of this formula in the dataset ... 1.03 eV/f.u.
M_tot ... 0.5 μB/cell

Lattice parameters (Å, degrees): 2.8309 2.8309 5.1359 74.00 74.00 60.00
Site moments in Bohr magnetons follow the coordinates.
Fractional coordinates of all 4 atoms:
Nb 0.4956 0.4956 0.5132  0.00
Co 0.6712 0.6712 0.9863  0.47
H 0.0616 0.0616 0.8151  0.00
H 0.2715 0.2715 0.1854  0.00

***

## NbCoH2 (GGA-PBE)

Data for crystalline NbCoH2 at its relaxed geometry.

Final energy ... -24.18 eV/f.u.
Excess energy over the best structure of this formula in the dataset ... 0.25 eV/f.u.
M_tot ... 0.0 μB/cell

Lattice parameters (Å, degrees): 2.8497 4.9428 4.8787 99.52 106.86 90.48
Fractional coordinates of all 8 atoms:
Nb 0.7501 0.2500 0.0000
Nb 0.2499 0.7500 0.0000
Co 0.0000 0.0000 0.5000
Co 0.5000 0.5000 0.5000
H 0.9026 0.6346 0.3095
H 0.4026 0.1346 0.3095
H 0.5974 0.8654 0.6905
H 0.0974 0.3654 0.6905

***

## NbCo3H (GGA-PBE)

Data for crystalline NbCo3H at its relaxed geometry.

Final energy ... -33.74 eV/f.u.
Excess energy over the best structure of this formula in the dataset ... 1.90 eV/f.u.
M_tot ... 5.9 μB/cell

Lattice parameters (Å, degrees): 4.5844 4.5844 6.2748 68.57 68.57 90.00
Site moments in Bohr magnetons follow the coordinates.
Fractional coordinates of all 10 atoms:
H 0.0000 0.0000 0.0000  0.00
H 0.2500 0.7500 0.5000  -0.01
Nb 0.5510 0.0510 0.8979  -0.29
Nb 0.9490 0.4490 0.1021  -0.24
Co 0.6063 0.8429 0.3143  1.02
Co 0.1571 0.3937 0.6857  1.18
Co 0.1571 0.9206 0.6857  1.17
Co 0.0794 0.8429 0.3143  1.03
Co 0.3665 0.3665 0.2671  1.03
Co 0.6335 0.6335 0.7329  1.10

***

## NbCo3H (GGA-PBE)

Data for crystalline NbCo3H at its relaxed geometry.

Final energy ... -33.78 eV/f.u.
Excess energy over the best structure of this formula in the dataset ... 1.86 eV/f.u.
M_tot ... 6.6 μB/cell

Lattice parameters (Å, degrees): 15.8120 7.2258 7.2258 159.00 156.05 23.95
Site moments in Bohr magnetons follow the coordinates.
Fractional coordinates of all 10 atoms:
H 0.6700 0.8568 0.1432  -0.01
H 0.3300 0.1432 0.8568  -0.01
Nb 0.6383 0.2591 0.7409  -0.23
Nb 0.3617 0.7409 0.2591  -0.23
Co 0.8433 0.2150 0.7850  1.13
Co 0.1567 0.7850 0.2150  1.13
Co 0.9997 0.3210 0.6790  1.23
Co 0.0003 0.6790 0.3210  1.23
Co 0.6663 0.5644 0.4356  1.25
Co 0.3337 0.4356 0.5644  1.25

***

## Nb3Co5H12 (GGA-PBE)

Data for crystalline Nb3Co5H12 at its relaxed geometry.

Final energy ... -105.98 eV/f.u.
M_tot ... 15.0 μB/cell

Lattice parameters (Å, degrees): 9.0952 9.0952 9.0952 109.47 109.47 109.47
Site moments in Bohr magnetons follow the coordinates.
Fractional coordinates of all 80 atoms:
Nb 0.7500 0.3750 0.1250  0.09
Nb 0.8750 0.7500 0.1250  0.09
Nb 0.3750 0.7500 0.6250  0.09
Nb 0.2500 0.1250 0.3750  0.09
Nb 0.8750 0.1250 0.2500  0.09
Nb 0.3750 0.6250 0.2500  0.09
Nb 0.6250 0.3750 0.7500  0.09
Nb 0.1250 0.8750 0.7500  0.09
Nb 0.7500 0.8750 0.6250  0.09
Nb 0.6250 0.2500 0.3750  0.09
Nb 0.1250 0.2500 0.8750  0.09
Nb 0.2500 0.6250 0.8750  0.09
Co 0.1250 0.3750 0.2500  0.78
Co 0.0000 0.5000 0.0000  0.60
Co 0.0000 0.0000 0.0000  0.60
Co 0.3750 0.2500 0.1250  0.78
Co 0.5000 0.0000 0.5000  0.60
Co 0.5000 0.5000 0.0000  0.60
Co 0.1250 0.7500 0.3750  0.78
Co 0.7500 0.1250 0.8750  0.78
Co 0.7500 0.6250 0.3750  0.78
Co 0.3750 0.1250 0.7500  0.78
Co 0.6250 0.8750 0.2500  0.78
Co 0.5000 0.5000 0.5000  0.60
Co 0.5000 0.0000 0.0000  0.60
Co 0.0000 0.0000 0.5000  0.60
Co 0.2500 0.3750 0.6250  0.78
Co 0.2500 0.8750 0.1250  0.78
Co 0.0000 0.5000 0.5000  0.60
Co 0.8750 0.2500 0.6250  0.78
Co 0.6250 0.7500 0.8750  0.78
Co 0.8750 0.6250 0.7500  0.78
H 0.7060 0.1215 0.0353  0.00
H 0.3293 0.5353 0.4137  0.00
H 0.9647 0.3785 0.2940  0.00
H 0.5353 0.2060 0.1215  0.00
H 0.5844 0.7060 0.6707  0.00
H 0.9647 0.5863 0.1707  0.00
H 0.3293 0.7940 0.4156  0.00
H 0.0863 0.9156 0.1215  0.00
H 0.5863 0.9647 0.6707  0.00
H 0.7060 0.5844 0.1707  0.00
H 0.7940 0.4647 0.3785  0.00
H 0.8293 0.9137 0.0353  0.00
H 0.1215 0.7060 0.5353  0.00
H 0.3785 0.4137 0.0844  0.00
H 0.0844 0.9137 0.3785  0.00
H 0.4156 0.1215 0.5863  0.00
H 0.0844 0.1707 0.2060  0.00
H 0.4647 0.6707 0.0863  0.00
H 0.8293 0.9156 0.2940  0.00
H 0.1215 0.4156 0.0863  0.00
H 0.3785 0.9647 0.7940  0.00
H 0.5863 0.6215 0.4156  0.00
H 0.9137 0.8293 0.5353  0.00
H 0.7940 0.3293 0.9156  0.00
H 0.4137 0.3785 0.5844  0.00
H 0.0863 0.1707 0.4647  0.00
H 0.2060 0.6707 0.0844  0.00
H 0.1707 0.0844 0.7060  0.00
H 0.6215 0.0353 0.2060  0.00
H 0.8785 0.5844 0.9137  0.00
H 0.5353 0.3293 0.9137  0.00
H 0.5844 0.8785 0.4137  0.00
H 0.9156 0.8293 0.7940  0.00
H 0.9156 0.0863 0.6215  0.00
H 0.8785 0.2940 0.4647  0.00
H 0.1707 0.0863 0.9647  0.00
H 0.6215 0.5863 0.9156  0.00
H 0.4137 0.0353 0.3293  0.00
H 0.2940 0.4156 0.8293  0.00
H 0.2060 0.5353 0.6215  0.00
H 0.9137 0.0844 0.8785  0.00
H 0.6707 0.2060 0.5844  0.00
H 0.4647 0.7940 0.8785  0.00
H 0.0353 0.4137 0.8293  0.00
H 0.4156 0.2940 0.3293  0.00
H 0.0353 0.6215 0.7060  0.00
H 0.6707 0.4647 0.5863  0.00
H 0.2940 0.8785 0.9647  0.00

***

## Nb2CoNiH (GGA-PBE)

Data for crystalline Nb2CoNiH at its relaxed geometry.

Final energy ... -36.95 eV/f.u.
Excess energy over the best structure of this formula in the dataset ... 0.00 eV/f.u.
M_tot ... 0.7 μB/cell

Lattice parameters (Å, degrees): 4.0310 4.0310 3.6947 90.00 90.00 90.00
Site moments in Bohr magnetons follow the coordinates.
Fractional coordinates of all 5 atoms:
Ni 0.5000 0.5000 0.5000  0.12
Nb 0.0000 0.5000 0.0000  -0.02
Nb 0.5000 0.0000 0.0000  -0.02
Co 0.0000 0.0000 0.5000  0.61
H 0.0000 0.0000 0.0000  0.00

***

## Nb2CoNiH (GGA-PBE)

Data for crystalline Nb2CoNiH at its relaxed geometry.

Final energy ... -36.93 eV/f.u.
Excess energy over the best structure of this formula in the dataset ... 0.02 eV/f.u.
M_tot ... 1.0 μB/cell

Lattice parameters (Å, degrees): 4.0517 4.0517 3.6655 90.00 90.00 90.00
Site moments in Bohr magnetons follow the coordinates.
Fractional coordinates of all 5 atoms:
Ni 0.0000 0.0000 0.5000  0.11
Nb 0.0000 0.5000 0.0000  0.00
Nb 0.5000 0.0000 0.0000  0.00
Co 0.5000 0.5000 0.5000  0.88
H 0.0000 0.0000 0.0000  0.00